# 1
ZnOsIF2, relaxed, DFT PBE; mass density = 7.94 g/cm³; calculated volume = 17.59 Å³/atom; formation energy (no corrections) = -35 kJ per mole of atoms
1.0
-3.786 0.445 0.571
-1.002 -1.189 -5.712
-0.315 -3.750 0.836
F Os Zn I
2 1 1 1
direct
0.000 0.000 0.500 F
0.500 0.000 0.000 F
0.000 0.500 0.000 Os
0.000 0.000 0.000 Zn
0.500 0.500 0.500 I


# 2
PIF2, relaxed, DFT PBE; mass density = 5.26 g/cm³; offset from the most stable computed form = 3.47 eV per formula unit; calculated volume = 15.47 Å³/atom; formation energy (no corrections) = -6 kJ per mole of atoms
1.0
0.000 3.139 3.139
3.139 0.000 3.139
3.139 3.139 0.000
I P F
1 1 2
direct
0.500 0.500 0.500 I
0.000 0.000 0.000 P
0.250 0.250 0.250 F
0.750 0.750 0.750 F


# 3
PIF, relaxed, DFT PBE; mass density = 3.72 g/cm³; calculated volume = 26.34 Å³/atom; formation energy (no corrections) = -49 kJ per mole of atoms
1.0
-0.675 -1.976 -4.358
7.517 -2.775 2.773
-3.601 -6.329 3.428
P F I
4 4 4
direct
0.057 0.114 0.107 P
0.443 0.886 0.607 P
0.557 0.114 0.393 P
0.943 0.886 0.893 P
0.244 0.988 0.250 F
0.256 0.012 0.750 F
0.756 0.012 0.750 F
0.744 0.988 0.250 F
0.356 0.712 0.989 I
0.144 0.288 0.489 I
0.856 0.712 0.511 I
0.644 0.288 0.011 I